Computed, not measured: a relaxed BeBiS2N crystal at the GGA-PBE level of DFT.

a = 5.248 Å, b = 5.248 Å, c = 4.274 Å
α = 90.00°, β = 90.00°, γ = 90.00°
Last column: magnetic moment on the atom in μB.
Positions (direct):
1 N 0.000 0.000 0.500  0.70
2 Be 0.500 0.500 0.500  -0.08
3 S 0.000 0.500 0.000  0.10
4 Bi 0.000 0.000 0.000  -0.05
5 S 0.500 0.000 0.000  0.10

Output
space-group type: P4/mmm, No. 123
volume: 117.7 Å³ per cell
total magnetic moment: 0.215 μB/atom
energy above the most stable polymorph in this dataset: 1.139 eV/atom
crystal system: tetragonal
VASP energy: -0.1230 Ha/atom
ρ: 4.177 g/cm3

Computed, not measured: a relaxed TePb crystal at the GGA-PBE level of DFT.

a = 6.924 Å, b = 6.924 Å, c = 6.924 Å
α = 141.00°, β = 141.00°, γ = 56.34°
Positions (direct):
1 Te 0.500 0.500 0.000
2 Te 0.750 0.250 0.500
3 Pb 0.000 0.000 0.000
4 Pb 0.250 0.750 0.500

Output
space-group type: I4_1/amd, No. 141
volume: 130.4 Å³ per cell
total magnetic moment: 0.000 μB/atom
crystal system: tetragonal
VASP energy: -0.1302 Ha/atom
ρ: 8.526 g/cm3

What did the second record say?
Computed, not measured: a relaxed TePb crystal at the GGA-PBE level of DFT.

a = 6.924 Å, b = 6.924 Å, c = 6.924 Å
α = 141.00°, β = 141.00°, γ = 56.34°
Positions (direct):
1 Te 0.500 0.500 0.000
2 Te 0.750 0.250 0.500
3 Pb 0.000 0.000 0.000
4 Pb 0.250 0.750 0.500

Output
space-group type: I4_1/amd, No. 141
volume: 130.4 Å³ per cell
total magnetic moment: 0.000 μB/atom
crystal system: tetragonal
VASP energy: -0.1302 Ha/atom
ρ: 8.526 g/cm3

> What is the VASP energy in the first record?

-0.1230 Ha/atom

> Which of these has the highest total magnetic moment?

BeBiS2N

> What is the formula in the first record?

BeBiS2N